No. 1
Density functional theory data (PBE-GGA) for LiCeGeOs after structural relaxation.

Results
ΔE_f = -210 meV/atom
volume = 278.97 Å³/cell
total moment = 0.00 μB per cell
final energy = -6.134 eV/atom

Cell: 6.534 6.534 6.534 Å, 90.00 90.00 90.00°
Space group F-43m (No. 216)
Unique sites:
Li (0.000, 0.000, 0.000) (multiplicity 4)
Ce (0.250, 0.250, 0.750) (multiplicity 4)
Ge (0.250, 0.250, 0.250) (multiplicity 4)
Os (0.000, 0.000, 0.500) (multiplicity 4)

---

No. 2
Density functional theory data (PBE-GGA) for UVFeRu after structural relaxation.

Results
ΔE_f = 112 meV/atom
volume = 240.34 Å³/cell
total moment = 2.92 μB per cell
final energy = -9.425 eV/atom

Cell: 6.217 6.217 6.217 Å, 90.00 90.00 90.00°
Space group F-43m (No. 216)
Unique sites:
U (0.000, 0.000, 0.000) (multiplicity 4)
V (0.250, 0.250, 0.750) (multiplicity 4)
Fe (0.250, 0.250, 0.250) (multiplicity 4)
Ru (0.000, 0.000, 0.500) (multiplicity 4)

---

No. 3
Density functional theory data (PBE-GGA) for Dy7Ga5Hg after structural relaxation.

Results
ΔE_f = -380 meV/atom
volume = 648.24 Å³/cell
total moment = 0.00 μB per cell
final energy = -4.045 eV/atom

Cell: 6.258 10.076 10.281 Å, 90.00 90.00 90.00°
Space group Imm2 (No. 44)
Unique sites:
Dy (0.000, 0.000, 0.000) (multiplicity 2)
Dy (0.000, 0.000, 0.372) (multiplicity 2)
Dy (0.000, 0.319, 0.659) (multiplicity 4)
Dy (0.000, 0.321, 0.131) (multiplicity 4)
Dy (0.000, 0.500, 0.379) (multiplicity 2)
Ga (0.000, 0.500, 0.892) (multiplicity 2)
Ga (0.246, 0.246, 0.899) (multiplicity 8)
Hg (0.000, 0.000, 0.685) (multiplicity 2)

---

No. 4
Density functional theory data (PBE-GGA) for Ta3W5 after structural relaxation.

Results
ΔE_f = -87 meV/atom
volume = 537.20 Å³/cell
total moment = 0.00 μB per cell
final energy = -12.628 eV/atom

Cell: 6.449 9.124 9.129 Å, 90.00 90.00 90.00°
Space group Amm2 (No. 38)
Unique sites:
Ta (0.000, 0.000, 0.000) (multiplicity 2)
Ta (0.000, 0.247, 0.753) (multiplicity 4)
Ta (0.253, 0.000, 0.253) (multiplicity 4)
Ta (0.500, 0.000, 0.507) (multiplicity 2)
W (0.000, 0.000, 0.505) (multiplicity 2)
W (0.252, 0.250, 0.003) (multiplicity 8)
W (0.253, 0.000, 0.753) (multiplicity 4)
W (0.500, 0.000, 0.001) (multiplicity 2)
W (0.500, 0.248, 0.754) (multiplicity 4)

---

No. 5
Density functional theory data (PBE-GGA) for Pm3CdCo after structural relaxation.

Results
ΔE_f = -127 meV/atom
volume = 273.40 Å³/cell
total moment = 0.00 μB per cell
final energy = -4.581 eV/atom

Cell: 7.286 4.809 8.342 Å, 90.00 110.69 90.00°
Space group P2_1/m (No. 11)
Unique sites:
Pm (0.059, 0.250, 0.261) (multiplicity 2)
Pm (0.304, 0.250, 0.909) (multiplicity 2)
Pm (0.339, 0.750, 0.587) (multiplicity 2)
Cd (0.298, 0.750, 0.175) (multiplicity 2)
Co (0.071, 0.250, 0.587) (multiplicity 2)

---

No. 6
Density functional theory data (PBE-GGA) for Cs4Na2Te after structural relaxation.

Results
volume = 1211.42 Å³/cell
total moment = 0.00 μB per cell
raw formation energy = -0.34 eV per atom
final energy = -1.653 eV/atom

Cell: 7.395 7.395 22.155 Å, 90.00 90.00 90.00°
Space group I4/mmm (No. 139)
Unique sites:
Cs (0.000, 0.000, 0.165) (multiplicity 4)
Cs (0.000, 0.500, 0.000) (multiplicity 4)
Na (0.000, 0.000, 0.362) (multiplicity 4)
Te (0.000, 0.000, 0.000) (multiplicity 2)

---

No. 7
Density functional theory data (PBE-GGA) for Tm4GaPbSe2 after structural relaxation.

Results
volume = 201.00 Å³/cell
total moment = 0.00 μB per cell
raw formation energy = -1.06 eV per atom
final energy = -5.011 eV/atom

Cell: 6.927 4.008 7.601 Å, 90.00 107.74 90.00°
Space group P2/m (No. 10)
Unique sites:
Tm (0.235, 0.000, 0.235) (multiplicity 2)
Tm (0.243, 0.500, 0.758) (multiplicity 2)
Ga (0.000, 0.000, 0.500) (multiplicity 1)
Pb (0.500, 0.500, 0.500) (multiplicity 1)
Se (0.000, 0.500, 0.000) (multiplicity 1)
Se (0.500, 0.000, 0.000) (multiplicity 1)

---

No. 8
Density functional theory data (PBE-GGA) for Ba3PdAu3 after structural relaxation.

Results
ΔE_f = -682 meV/atom
volume = 445.85 Å³/cell
total moment = 0.00 μB per cell
final energy = -3.652 eV/atom

Cell: 4.451 4.827 20.752 Å, 90.00 90.00 90.00°
Space group Imm2 (No. 44)
Unique sites:
Ba (0.000, 0.000, 0.000) (multiplicity 2)
Ba (0.000, 0.000, 0.365) (multiplicity 2)
Ba (0.000, 0.500, 0.188) (multiplicity 2)
Pd (0.000, 0.500, 0.753) (multiplicity 2)
Au (0.000, 0.000, 0.538) (multiplicity 2)
Au (0.000, 0.000, 0.826) (multiplicity 2)
Au (0.000, 0.500, 0.621) (multiplicity 2)

---

No. 9
Density functional theory data (PBE-GGA) for TaIr2Br after structural relaxation.

Results
volume = 132.11 Å³/cell
total moment = 0.00 μB per cell
raw formation energy = 0.56 eV per atom
final energy = -7.256 eV/atom

Cell: 4.531 4.547 6.413 Å, 90.00 90.00 90.00°
Space group Imm2 (No. 44)
Unique sites:
Ta (0.000, 0.000, 0.000) (multiplicity 2)
Ir (0.000, 0.000, 0.501) (multiplicity 2)
Ir (0.000, 0.500, 0.253) (multiplicity 2)
Br (0.000, 0.500, 0.756) (multiplicity 2)

---

No. 10
Density functional theory data (PBE-GGA) for TaS2Br after structural relaxation.

Results
volume = 453.23 Å³/cell
total moment = 0.00 μB per cell
raw formation energy = -0.34 eV per atom
final energy = -5.782 eV/atom

Cell: 6.757 6.757 9.926 Å, 90.00 90.00 90.00°
Space group I-42d (No. 122)
Unique sites:
Ta (0.000, 0.000, 0.000) (multiplicity 4)
S (0.142, 0.250, 0.125) (multiplicity 8)
Br (0.000, 0.000, 0.500) (multiplicity 4)

---

No. 11
Density functional theory data (PBE-GGA) for Ca4MnSb after structural relaxation.

Results
volume = 802.28 Å³/cell
total moment = 14.59 μB per cell
raw formation energy = 0.42 eV per atom
final energy = -3.130 eV/atom

Cell: 9.292 9.292 9.292 Å, 90.00 90.00 90.00°
Space group F-43m (No. 216)
Unique sites:
Ca (0.125, 0.125, 0.125) (multiplicity 16)
Mn (0.250, 0.250, 0.750) (multiplicity 4)
Sb (0.000, 0.000, 0.500) (multiplicity 4)

---

No. 12
Density functional theory data (PBE-GGA) for AcGa2Bi after structural relaxation.

Results
ΔE_f = -439 meV/atom
volume = 110.52 Å³/cell
total moment = 0.00 μB per cell
final energy = -3.950 eV/atom

Cell: 4.889 4.889 4.623 Å, 90.00 90.00 90.00°
Space group P4/mmm (No. 123)
Unique sites:
Ac (0.000, 0.000, 0.000) (multiplicity 1)
Ga (0.000, 0.500, 0.500) (multiplicity 2)
Bi (0.500, 0.500, 0.000) (multiplicity 1)